The following is a DFT calculation (SCAN) of RbCu2SiBr at its PBEsol-relaxed geometry.

Values from the calculation:
Formation energy without anion corrections (eV per atom): 0.002
Volume (Å³/atom): 27.7
Final energy (eV/cell): -80.60
DOS(E_F) (states/eV/cell): 1.75

Cell and atoms, written as CIF:
```
data_RbCu2SiBr
_space_group_name_H-M_alt 'P 4/m m m'
_space_group_IT_number 123
_space_group_name_Hall '-P 4 2'
_cell_length_a 4.4833
_cell_length_b 4.4833
_cell_length_c 6.8946
_cell_angle_alpha 90.00
_cell_angle_beta 90.00
_cell_angle_gamma 90.00
loop_
_atom_site_label
_atom_site_fract_x
_atom_site_fract_y
_atom_site_fract_z
Rb1 0.0000 0.0000 0.0000
Cu1 0.0000 0.5000 0.5000
Si1 0.0000 0.0000 0.5000
Br1 0.5000 0.5000 0.0000
```

The following is a DFT calculation (SCAN) of Rb2YCuBr6 at its PBEsol-relaxed geometry.

Values from the calculation:
Formation energy without anion corrections (eV per atom): -1.671
Volume (Å³/atom): 30.8
Final energy (eV/cell): -871.94
DOS(E_F) (states/eV/cell): 0.00

Cell and atoms, written as CIF:
```
data_Rb2YCuBr6
_space_group_name_H-M_alt 'F m -3 m'
_space_group_IT_number 225
_space_group_name_Hall '-F 4 2 3'
_cell_length_a 10.7245
_cell_length_b 10.7245
_cell_length_c 10.7245
_cell_angle_alpha 90.00
_cell_angle_beta 90.00
_cell_angle_gamma 90.00
loop_
_atom_site_label
_atom_site_fract_x
_atom_site_fract_y
_atom_site_fract_z
Rb1 0.2500 0.2500 0.2500
Y1 0.0000 0.0000 0.0000
Cu1 0.0000 0.0000 0.5000
Br1 0.0000 0.0000 0.2569
```

The following is a DFT calculation (SCAN) of CuRe2Br at its PBEsol-relaxed geometry.

Values from the calculation:
Formation energy without anion corrections (eV per atom): 1.247
Volume (Å³/atom): 14.9
Energy above the most stable polymorph in this dataset (meV per atom): 158.9
Final energy (eV/cell): -343.73
DOS(E_F) (states/eV/cell): 3.80

Cell and atoms, written as CIF:
```
data_CuRe2Br
_space_group_name_H-M_alt 'I -4 m 2'
_space_group_IT_number 119
_space_group_name_Hall 'I -4 -2'
_cell_length_a 4.1375
_cell_length_b 4.1375
_cell_length_c 6.9437
_cell_angle_alpha 90.00
_cell_angle_beta 90.00
_cell_angle_gamma 90.00
loop_
_atom_site_label
_atom_site_fract_x
_atom_site_fract_y
_atom_site_fract_z
Cu1 0.0000 0.0000 0.0000
Re1 0.0000 0.0000 0.5000
Re2 0.0000 0.5000 0.2500
Br1 0.0000 0.5000 0.7500
```

The following is a DFT calculation (SCAN) of Cu2ReBr at its PBEsol-relaxed geometry.

Values from the calculation:
Formation energy without anion corrections (eV per atom): 1.097
Volume (Å³/atom): 14.4
Energy above the most stable polymorph in this dataset (meV per atom): 0.0
Final energy (eV/cell): -233.13
DOS(E_F) (states/eV/cell): 5.77

Cell and atoms, written as CIF:
```
data_Cu2ReBr
_space_group_name_H-M_alt 'C 1 2/m 1'
_space_group_IT_number 12
_cell_length_a 10.0017
_cell_length_b 2.8522
_cell_length_c 4.4924
_cell_angle_alpha 90.00
_cell_angle_beta 116.29
_cell_angle_gamma 90.00
loop_
_space_group_symop_operation_xyz
'x,y,z'
'-x,-y,-z'
'-x,y,-z'
'x,-y,z'
'x+1/2,y+1/2,z'
'-x+1/2,-y+1/2,-z'
'-x+1/2,y+1/2,-z'
'x+1/2,-y+1/2,z'
loop_
_atom_site_label
_atom_site_fract_x
_atom_site_fract_y
_atom_site_fract_z
Cu1 0.2489 0.0000 0.2479
Re1 0.0000 0.5000 0.0000
Br1 0.0000 0.0000 0.5000
```

The following is a DFT calculation (SCAN) of CuRe2Br at its PBEsol-relaxed geometry.

Values from the calculation:
Formation energy without anion corrections (eV per atom): 1.088
Volume (Å³/atom): 14.7
Energy above the most stable polymorph in this dataset (meV per atom): 0.0
Final energy (eV/cell): -517.50
DOS(E_F) (states/eV/cell): 9.51

Cell and atoms, written as CIF:
```
data_CuRe2Br
_space_group_name_H-M_alt 'R -3 m'
_space_group_IT_number 166
_space_group_name_Hall '-R 3 2"'
_cell_length_a 2.8413
_cell_length_b 2.8413
_cell_length_c 25.2728
_cell_angle_alpha 90.00
_cell_angle_beta 90.00
_cell_angle_gamma 120.00
loop_
_atom_site_label
_atom_site_fract_x
_atom_site_fract_y
_atom_site_fract_z
Cu1 0.0000 0.0000 0.0000
Re1 0.0000 0.0000 0.2525
Br1 0.0000 0.0000 0.5000
```

The following is a DFT calculation (SCAN) of Cu2ReBr at its PBEsol-relaxed geometry.

Values from the calculation:
Formation energy without anion corrections (eV per atom): 1.146
Volume (Å³/atom): 14.6
Energy above the most stable polymorph in this dataset (meV per atom): 48.7
Final energy (eV/cell): -116.37
DOS(E_F) (states/eV/cell): 3.58

Cell and atoms, written as CIF:
```
data_Cu2ReBr
_space_group_name_H-M_alt 'P 4/m m m'
_space_group_IT_number 123
_space_group_name_Hall '-P 4 2'
_cell_length_a 4.4878
_cell_length_b 4.4878
_cell_length_c 2.8936
_cell_angle_alpha 90.00
_cell_angle_beta 90.00
_cell_angle_gamma 90.00
loop_
_atom_site_label
_atom_site_fract_x
_atom_site_fract_y
_atom_site_fract_z
Cu1 0.0000 0.5000 0.0000
Re1 0.0000 0.0000 0.5000
Br1 0.5000 0.5000 0.5000
```

The following is a DFT calculation (SCAN) of CuReBr2 at its PBEsol-relaxed geometry.

Values from the calculation:
Formation energy without anion corrections (eV per atom): 0.919
Volume (Å³/atom): 19.2
Final energy (eV/cell): -243.08
DOS(E_F) (states/eV/cell): 6.43

Cell and atoms, written as CIF:
```
data_CuReBr2
_space_group_name_H-M_alt 'I m m 2'
_space_group_IT_number 44
_cell_length_a 2.9731
_cell_length_b 4.4829
_cell_length_c 11.5103
_cell_angle_alpha 90.00
_cell_angle_beta 90.00
_cell_angle_gamma 90.00
loop_
_space_group_symop_operation_xyz
'x,y,z'
'-x,-y,z'
'-x,y,z'
'x,-y,z'
'x+1/2,y+1/2,z+1/2'
'-x+1/2,-y+1/2,z+1/2'
'-x+1/2,y+1/2,z+1/2'
'x+1/2,-y+1/2,z+1/2'
loop_
_atom_site_label
_atom_site_fract_x
_atom_site_fract_y
_atom_site_fract_z
Cu1 0.0000 0.0000 0.0000
Re1 0.0000 0.5000 0.6840
Br1 0.0000 0.0000 0.3667
Br2 0.0000 0.5000 0.1536
```

The following is a DFT calculation (SCAN) of Cu2RhBr at its PBEsol-relaxed geometry.

Values from the calculation:
Formation energy without anion corrections (eV per atom): 0.395
Volume (Å³/atom): 14.6
Final energy (eV/cell): -82.05
DOS(E_F) (states/eV/cell): 3.86

Cell and atoms, written as CIF:
```
data_Cu2RhBr
_space_group_name_H-M_alt 'P 4/m m m'
_space_group_IT_number 123
_space_group_name_Hall '-P 4 2'
_cell_length_a 3.2730
_cell_length_b 3.2730
_cell_length_c 5.4663
_cell_angle_alpha 90.00
_cell_angle_beta 90.00
_cell_angle_gamma 90.00
loop_
_atom_site_label
_atom_site_fract_x
_atom_site_fract_y
_atom_site_fract_z
Cu1 0.0000 0.0000 0.2195
Rh1 0.5000 0.5000 0.0000
Br1 0.5000 0.5000 0.5000
```

The following is a DFT calculation (SCAN) of Cu3RuBr at its PBEsol-relaxed geometry.

Values from the calculation:
Formation energy without anion corrections (eV per atom): 1.249
Volume (Å³/atom): 19.7
Final energy (eV/cell): -93.64
DOS(E_F) (states/eV/cell): 1.05

Cell and atoms, written as CIF:
```
data_Cu3RuBr
_space_group_name_H-M_alt 'P m -3 m'
_space_group_IT_number 221
_space_group_name_Hall '-P 4 2 3'
_cell_length_a 4.6170
_cell_length_b 4.6170
_cell_length_c 4.6170
_cell_angle_alpha 90.00
_cell_angle_beta 90.00
_cell_angle_gamma 90.00
loop_
_atom_site_label
_atom_site_fract_x
_atom_site_fract_y
_atom_site_fract_z
Cu1 0.0000 0.0000 0.5000
Ru1 0.0000 0.0000 0.0000
Br1 0.5000 0.5000 0.5000
```

The following is a DFT calculation (SCAN) of CuS2Br at its PBEsol-relaxed geometry.

Values from the calculation:
Formation energy without anion corrections (eV per atom): 1.070
Volume (Å³/atom): 16.4
Final energy (eV/cell): -198.55
DOS(E_F) (states/eV/cell): 14.09

Cell and atoms, written as CIF:
```
data_CuS2Br
_space_group_name_H-M_alt 'F m -3 m'
_space_group_IT_number 225
_space_group_name_Hall '-F 4 2 3'
_cell_length_a 6.3986
_cell_length_b 6.3986
_cell_length_c 6.3986
_cell_angle_alpha 90.00
_cell_angle_beta 90.00
_cell_angle_gamma 90.00
loop_
_atom_site_label
_atom_site_fract_x
_atom_site_fract_y
_atom_site_fract_z
Cu1 0.0000 0.0000 0.0000
S1 0.2500 0.2500 0.2500
Br1 0.0000 0.0000 0.5000
```

The following is a DFT calculation (SCAN) of CuSBr2 at its PBEsol-relaxed geometry.

Values from the calculation:
Formation energy without anion corrections (eV per atom): 0.832
Volume (Å³/atom): 18.7
Final energy (eV/cell): -241.68
DOS(E_F) (states/eV/cell): 11.65

Cell and atoms, written as CIF:
```
data_CuSBr2
_space_group_name_H-M_alt 'F m -3 m'
_space_group_IT_number 225
_space_group_name_Hall '-F 4 2 3'
_cell_length_a 6.6836
_cell_length_b 6.6836
_cell_length_c 6.6836
_cell_angle_alpha 90.00
_cell_angle_beta 90.00
_cell_angle_gamma 90.00
loop_
_atom_site_label
_atom_site_fract_x
_atom_site_fract_y
_atom_site_fract_z
Cu1 0.0000 0.0000 0.0000
S1 0.0000 0.0000 0.5000
Br1 0.2500 0.2500 0.2500
```

The following is a DFT calculation (SCAN) of CuTeSBr at its PBEsol-relaxed geometry.

Values from the calculation:
Formation energy without anion corrections (eV per atom): -0.246
Volume (Å³/atom): 25.4
Final energy (eV/cell): -330.09

Cell and atoms, written as CIF:
```
data_CuTeSBr
_space_group_name_H-M_alt 'P 1 21/c 1'
_space_group_IT_number 14
_cell_length_a 7.8899
_cell_length_b 4.7678
_cell_length_c 12.0085
_cell_angle_alpha 90.00
_cell_angle_beta 115.96
_cell_angle_gamma 90.00
loop_
_space_group_symop_operation_xyz
'x,y,z'
'-x,-y,-z'
'-x,y+1/2,-z+1/2'
'x,-y+1/2,z+1/2'
loop_
_atom_site_label
_atom_site_fract_x
_atom_site_fract_y
_atom_site_fract_z
Cu1 0.1935 0.1324 0.2523
Te1 0.2865 0.5031 0.1421
S1 0.4161 0.6915 0.8340
Br1 0.0848 0.1452 0.8891
```

Number 8 is which compound?
Cu2RhBr

Look up the formation energy without anion corrections of the twelfth one.
-0.246 eV per atom

What is the final energy in the eleventh record?
-241.68 eV/cell

Which value of volume does entry 12 give?
25.4 Å³/atom